Sr2HgOs PBE optimized geometry; N(E_F) = 2.69 states/eV/cell; crystal system = tetragonal; energy relative to the elements = 445.2 meV per atom; symmetry = P4mm
1.0
3.730 0.000 0.000
0.000 3.730 0.000
0.000 0.000 8.723
Sr Hg Os
2 1 1
Direct
0.000 0.000 0.000 Sr
0.500 0.500 0.419 Sr
0.000 0.000 0.649 Hg
0.500 0.500 0.767 Os